Record 1
BaMgNbCr2 | GGA-PBE | relaxed

Cell: 4.8911 5.5704 4.8911 Å, 90.00 90.00 90.00°
Last column: nearest neighbours and their distance in Å.
Fractional positions:
Mg 0.0000 0.5000 0.0000  2 Nb 2.79
Ba 0.5000 0.5000 0.5000  4 Mg 3.46, 8 Cr 3.71
Nb 0.0000 0.0000 0.0000  4 Cr 2.45
Cr 0.5000 0.0000 0.0000  2 Nb 2.45
Cr 0.0000 0.0000 0.5000  2 Nb 2.45

---

Record 2
BaMgNb2Cr | GGA-PBE | relaxed

Cell: 5.0939 5.3036 5.0939 Å, 90.00 90.00 90.00°
Last column: nearest neighbours and their distance in Å.
Fractional positions:
Ba 0.0000 0.0000 0.0000  4 Nb 2.55, 2 Mg 2.65
Cr 0.5000 0.5000 0.5000  4 Mg 3.60, 8 Nb 3.68
Mg 0.0000 0.5000 0.0000  2 Ba 2.65
Nb 0.0000 0.0000 0.5000  2 Ba 2.55
Nb 0.5000 0.0000 0.0000  2 Ba 2.55

---

Number 1: magnetic moment 5.140 μB per formula unit, E -28.39 eV per cell. Number 2: magnetic moment 0.537 μB per formula unit, E -18.97 eV per cell.